A relaxed AcSbPt4 crystal, computed with GGA-PBE.

Cell and atoms, written as POSCAR:
```
AcSbPt4
1.0
-2.753 -4.459 1.842
-2.587 -3.349 -3.598
1.990 -5.093 -0.979
Ac Pt Sb
1 4 1
direct
0.250 0.250 0.250
0.626 0.626 0.626
0.626 0.626 0.123
0.626 0.123 0.626
0.123 0.626 0.626
0.000 0.000 0.000
```

Summary:
Size of the total moment: 0.000 Bohr magnetons per cell
Relative energy among the computed polymorphs: 0.0 meV per atom
Space-group type: F-43m
Density: 15.47 g cm⁻³
Formation energy from raw total energies: -0.642 eV/atom
Crystal system: cubic